(1)
Here is Ca4Al6MoO16 at its PBEsol-relaxed geometry from the Alexandria database. Energies are from meta-GGA SCAN.

Properties
- crystal system = tetragonal
- formation energy without anion corrections (eV/f.u.) = -86.48

Cell and atoms, written as CIF:
```
data_Ca4Al6MoO16
_space_group_name_H-M_alt 'I -4'
_space_group_IT_number 82
_space_group_name_Hall 'I -4'
_cell_length_a 9.2591
_cell_length_b 9.2591
_cell_length_c 9.4683
_cell_angle_alpha 90.00
_cell_angle_beta 90.00
_cell_angle_gamma 90.00
loop_
_atom_site_label
_atom_site_fract_x
_atom_site_fract_y
_atom_site_fract_z
_atom_site_occupancy
Ca1 0.2125 0.2482 0.2326 1
Al1 0.0000 0.5000 0.2500 1
Al2 0.0000 0.5000 0.7500 1
Al3 0.0153 0.2521 0.5059 1
Mo1 0.0000 0.0000 0.0000 1
O1 0.0181 0.6581 0.3463 1
O2 0.0245 0.1534 0.1076 1
O3 0.0695 0.3500 0.6560 1
O4 0.1489 0.8331 0.5441 1
```

=====

(2)
Here is Ca2AlMoO5 at its PBEsol-relaxed geometry from the Alexandria database. Energies are from meta-GGA SCAN.

Properties
- crystal system = monoclinic
- formation energy without anion corrections (eV/f.u.) = -25.06

Cell and atoms, written as CIF:
```
data_Ca2AlMoO5
_space_group_name_H-M_alt 'C 1 c 1'
_space_group_IT_number 9
_space_group_name_Hall 'C -2yc'
_cell_length_a 15.3123
_cell_length_b 5.8006
_cell_length_c 5.3289
_cell_angle_alpha 90.00
_cell_angle_beta 110.34
_cell_angle_gamma 90.00
loop_
_atom_site_label
_atom_site_fract_x
_atom_site_fract_y
_atom_site_fract_z
_atom_site_occupancy
Ca1 0.0000 0.2066 0.0000 1
Ca2 0.2222 0.2933 0.2222 1
Al1 0.3611 0.1678 0.8323 1
Mo1 0.1111 0.2500 0.6279 1
O1 0.0987 0.4990 0.3631 1
O2 0.1234 0.0024 0.3861 1
O3 0.2602 0.3229 0.8055 1
O4 0.3611 0.1032 0.4988 1
O5 0.4620 0.3229 0.0071 1
```

=====

(3)
Here is CaAlRe2Mo at its PBEsol-relaxed geometry from the Alexandria database. Energies are from meta-GGA SCAN.

Properties
- crystal system = tetragonal
- ΔE_f (eV/atom) = 1.1682

Cell and atoms, written as CIF:
```
data_CaAlRe2Mo
_space_group_name_H-M_alt 'P 4/m m m'
_space_group_IT_number 123
_space_group_name_Hall '-P 4 2'
_cell_length_a 4.7005
_cell_length_b 4.7005
_cell_length_c 4.8521
_cell_angle_alpha 90.00
_cell_angle_beta 90.00
_cell_angle_gamma 90.00
loop_
_atom_site_label
_atom_site_fract_x
_atom_site_fract_y
_atom_site_fract_z
_atom_site_occupancy
Ca1 0.0000 0.0000 0.0000 1
Al1 0.5000 0.5000 0.0000 1
Re1 0.0000 0.5000 0.5000 1
Mo1 0.5000 0.5000 0.5000 1
```

=====

(4)
Here is Ca3Al3N5 at its PBEsol-relaxed geometry from the Alexandria database. Energies are from meta-GGA SCAN.

Properties
- crystal system = triclinic
- formation energy without anion corrections (eV/f.u.) = -15.87

Cell and atoms, written as CIF:
```
data_Ca3Al3N5
_space_group_name_H-M_alt 'P -1'
_space_group_IT_number 2
_space_group_name_Hall '-P 1'
_cell_length_a 5.6340
_cell_length_b 6.8813
_cell_length_c 8.2605
_cell_angle_alpha 108.07
_cell_angle_beta 104.95
_cell_angle_gamma 95.68
loop_
_atom_site_label
_atom_site_fract_x
_atom_site_fract_y
_atom_site_fract_z
_atom_site_occupancy
Ca1 0.1617 0.1404 0.1996 1
Ca2 0.1681 0.3631 0.8844 1
Ca3 0.3099 0.9234 0.6055 1
Al1 0.2082 0.4529 0.5702 1
Al2 0.3705 0.6247 0.2889 1
Al3 0.4053 0.8141 0.9687 1
N1 0.1094 0.5651 0.3851 1
N2 0.2396 0.7252 0.1070 1
N3 0.2624 0.0230 0.8952 1
N4 0.3412 0.2085 0.5144 1
N5 0.4684 0.6027 0.7869 1
```

=====

(5)
Here is Ca3AlN3 at its PBEsol-relaxed geometry from the Alexandria database. Energies are from meta-GGA SCAN.

Properties
- crystal system = monoclinic
- formation energy without anion corrections (eV/f.u.) = -8.70

Cell and atoms, written as CIF:
```
data_Ca3AlN3
_space_group_name_H-M_alt 'P 1 21/c 1'
_space_group_IT_number 14
_space_group_name_Hall '-P 2ybc'
_cell_length_a 6.8274
_cell_length_b 6.0747
_cell_length_c 9.7399
_cell_angle_alpha 90.00
_cell_angle_beta 93.61
_cell_angle_gamma 90.00
loop_
_atom_site_label
_atom_site_fract_x
_atom_site_fract_y
_atom_site_fract_z
_atom_site_occupancy
Ca1 0.0755 0.1412 0.1503 1
Ca2 0.3546 0.7172 0.8058 1
Ca3 0.3721 0.2060 0.9235 1
Al1 0.1598 0.5919 0.0611 1
N1 0.1054 0.0377 0.3821 1
N2 0.2599 0.6220 0.5293 1
N3 0.3378 0.0684 0.6789 1
```

=====

(6)
Here is Ca2AlN at its PBEsol-relaxed geometry from the Alexandria database. Energies are from meta-GGA SCAN.

Properties
- crystal system = cubic
- formation energy without anion corrections (eV/f.u.) = 1.80

Cell and atoms, written as CIF:
```
data_Ca2AlN
_space_group_name_H-M_alt 'F m -3 m'
_space_group_IT_number 225
_space_group_name_Hall '-F 4 2 3'
_cell_length_a 6.8696
_cell_length_b 6.8696
_cell_length_c 6.8696
_cell_angle_alpha 90.00
_cell_angle_beta 90.00
_cell_angle_gamma 90.00
loop_
_atom_site_label
_atom_site_fract_x
_atom_site_fract_y
_atom_site_fract_z
_atom_site_occupancy
Ca1 0.2500 0.2500 0.2500 1
Al1 0.0000 0.0000 0.0000 1
N1 0.0000 0.0000 0.5000 1
```

=====

(7)
Here is Ca10Al6Si13N30 at its PBEsol-relaxed geometry from the Alexandria database. Energies are from meta-GGA SCAN.

Properties
- crystal system = triclinic
- formation energy without anion corrections (eV/f.u.) = -86.74

Cell and atoms, written as CIF:
```
data_Ca10Al6Si13N30
_space_group_name_H-M_alt 'P 1'
_space_group_IT_number 1
_space_group_name_Hall 'P 1'
_cell_length_a 5.0205
_cell_length_b 5.6215
_cell_length_c 24.4832
_cell_angle_alpha 95.13
_cell_angle_beta 90.15
_cell_angle_gamma 90.01
loop_
_atom_site_label
_atom_site_fract_x
_atom_site_fract_y
_atom_site_fract_z
_atom_site_occupancy
Ca1 0.0000 0.0000 0.0000 1
Ca2 0.0002 0.3904 0.8050 1
Ca3 0.0021 0.2681 0.3724 1
Ca4 0.0181 0.5702 0.2163 1
Ca5 0.4904 0.1842 0.6017 1
Ca6 0.4966 0.7738 0.8037 1
Ca7 0.4982 0.3654 0.0117 1
Ca8 0.5085 0.6037 0.3958 1
Ca9 0.5372 0.9937 0.2175 1
Ca10 0.9957 0.8196 0.6012 1
Al1 0.4673 0.2762 0.8773 1
Al2 0.4670 0.6843 0.6713 1
Al3 0.4698 0.2136 0.7339 1
Al4 0.4729 0.1081 0.4707 1
Al5 0.4751 0.8800 0.0761 1
Al6 0.9685 0.9517 0.8741 1
Si1 0.0261 0.7478 0.3344 1
Si2 0.4723 0.6317 0.5323 1
Si3 0.4746 0.7981 0.9364 1
Si4 0.4835 0.4044 0.1396 1
Si5 0.5067 0.4993 0.2795 1
Si6 0.5132 0.0486 0.3339 1
Si7 0.9587 0.3718 0.6715 1
Si8 0.9604 0.8933 0.7321 1
Si9 0.9674 0.7971 0.4717 1
Si10 0.9676 0.3191 0.5321 1
Si11 0.9702 0.4865 0.9389 1
Si12 0.9730 0.5633 0.0772 1
Si13 0.9821 0.0720 0.1351 1
N1 0.0060 0.4384 0.0086 1
N2 0.0109 0.6947 0.4054 1
N3 0.0124 0.2731 0.6018 1
N4 0.0155 0.8460 0.8001 1
N5 0.0409 0.9815 0.1962 1
N6 0.0995 0.6576 0.6877 1
N7 0.1009 0.8533 0.0828 1
N8 0.1027 0.1661 0.7134 1
N9 0.1028 0.2550 0.8965 1
N10 0.1102 0.0769 0.4936 1
N11 0.1237 0.5903 0.5157 1
N12 0.1315 0.7458 0.9213 1
N13 0.1385 0.3637 0.1189 1
N14 0.1938 0.5067 0.3059 1
N15 0.1961 0.9856 0.3193 1
N16 0.4935 0.7571 0.5988 1
N17 0.4984 0.3480 0.8051 1
N18 0.5135 0.5142 0.2072 1
N19 0.5143 0.9318 0.0021 1
N20 0.5482 0.1650 0.4016 1
N21 0.6050 0.9748 0.8891 1
N22 0.6219 0.3952 0.6828 1
N23 0.6233 0.9129 0.7189 1
N24 0.6241 0.3502 0.5208 1
N25 0.6266 0.8156 0.4888 1
N26 0.6275 0.5143 0.9265 1
N27 0.6323 0.5913 0.0942 1
N28 0.6358 0.1274 0.1207 1
N29 0.6646 0.2534 0.2972 1
N30 0.6876 0.7605 0.3121 1
```

=====

(8)
Here is CaAlTeN2 at its PBEsol-relaxed geometry from the Alexandria database. Energies are from meta-GGA SCAN.

Properties
- crystal system = tetragonal
- formation energy without anion corrections (eV/f.u.) = 5.55

Cell and atoms, written as CIF:
```
data_CaAlTeN2
_space_group_name_H-M_alt 'P 4/m m m'
_space_group_IT_number 123
_space_group_name_Hall '-P 4 2'
_cell_length_a 4.4154
_cell_length_b 4.4154
_cell_length_c 6.1352
_cell_angle_alpha 90.00
_cell_angle_beta 90.00
_cell_angle_gamma 90.00
loop_
_atom_site_label
_atom_site_fract_x
_atom_site_fract_y
_atom_site_fract_z
_atom_site_occupancy
Ca1 0.0000 0.0000 0.0000 1
Al1 0.5000 0.5000 0.5000 1
Te1 0.0000 0.0000 0.5000 1
N1 0.0000 0.5000 0.0000 1
```

=====

(9)
Here is NaCa3Al at its PBEsol-relaxed geometry from the Alexandria database. Energies are from meta-GGA SCAN.

Properties
- crystal system = cubic
- ΔE_f (eV/atom) = 0.0867

Cell and atoms, written as CIF:
```
data_NaCa3Al
_space_group_name_H-M_alt 'P m -3 m'
_space_group_IT_number 221
_space_group_name_Hall '-P 4 2 3'
_cell_length_a 5.9247
_cell_length_b 5.9247
_cell_length_c 5.9247
_cell_angle_alpha 90.00
_cell_angle_beta 90.00
_cell_angle_gamma 90.00
loop_
_atom_site_label
_atom_site_fract_x
_atom_site_fract_y
_atom_site_fract_z
_atom_site_occupancy
Na1 0.0000 0.0000 0.0000 1
Ca1 0.0000 0.5000 0.5000 1
Al1 0.5000 0.5000 0.5000 1
```

=====

(10)
Here is Na3CaAl3Si3SO16 at its PBEsol-relaxed geometry from the Alexandria database. Energies are from meta-GGA SCAN.

Properties
- crystal system = triclinic
- formation energy without anion corrections (eV/f.u.) = -77.28

Cell and atoms, written as CIF:
```
data_Na3CaAl3Si3SO16
_space_group_name_H-M_alt 'P 1'
_space_group_IT_number 1
_space_group_name_Hall 'P 1'
_cell_length_a 7.7742
_cell_length_b 7.8077
_cell_length_c 7.8344
_cell_angle_alpha 109.36
_cell_angle_beta 108.39
_cell_angle_gamma 110.39
loop_
_atom_site_label
_atom_site_fract_x
_atom_site_fract_y
_atom_site_fract_z
_atom_site_occupancy
Na1 0.0000 0.0000 0.0000 1
Na2 0.0066 0.6192 0.3931 1
Na3 0.6246 0.2379 0.6269 1
Ca1 0.3709 0.5897 0.0063 1
Al1 0.2471 0.1111 0.7580 1
Al2 0.5042 0.3643 0.2516 1
Al3 0.7581 0.1157 0.2506 1
Si1 0.2617 0.3615 0.5050 1
Si2 0.5015 0.8571 0.7548 1
Si3 0.7467 0.8683 0.5009 1
S1 0.0346 0.6342 0.9952 1
O1 0.0235 0.2102 0.3142 1
O2 0.1597 0.6454 0.1921 1
O3 0.1780 0.8123 0.9848 1
O4 0.2923 0.2473 0.0066 1
O5 0.3037 0.3187 0.7003 1
O6 0.3118 0.6089 0.6034 1
O7 0.4060 0.0041 0.7197 1
O8 0.4234 0.3301 0.4281 1
O9 0.5945 0.6289 0.3098 1
O10 0.6029 0.8969 0.9909 1
O11 0.6909 0.9029 0.6933 1
O12 0.6991 0.0124 0.4061 1
O13 0.7085 0.3176 0.2779 1
O14 0.8432 0.6400 0.9801 1
O15 0.9844 0.4350 0.8223 1
O16 0.9848 0.9116 0.5917 1
```

=====

(11)
Here is Na3CaAl3Si3SO16 at its PBEsol-relaxed geometry from the Alexandria database. Energies are from meta-GGA SCAN.

Properties
- crystal system = trigonal
- formation energy without anion corrections (eV/f.u.) = -77.85

Cell and atoms, written as CIF:
```
data_Na3CaAl3Si3SO16
_space_group_name_H-M_alt 'R 3 c'
_space_group_IT_number 161
_space_group_name_Hall 'R 3 -2"c'
_cell_length_a 12.8124
_cell_length_b 12.8124
_cell_length_c 15.4894
_cell_angle_alpha 90.00
_cell_angle_beta 90.00
_cell_angle_gamma 120.00
loop_
_atom_site_label
_atom_site_fract_x
_atom_site_fract_y
_atom_site_fract_z
_atom_site_occupancy
Na1 0.0801 0.5392 0.0000 1
Ca1 0.0000 0.0000 0.0774 1
Al1 0.0839 0.4157 0.1846 1
Si1 0.9999 0.2469 0.0178 1
S1 0.0000 0.0000 0.2535 1
O1 0.0000 0.0000 0.3486 1
O2 0.0418 0.3639 0.0793 1
O3 0.0468 0.3735 0.5857 1
O4 0.0610 0.1249 0.2169 1
O5 0.0948 0.1959 0.0170 1
O6 0.1992 0.4079 0.7218 1
```

=====

(12)
Here is NaCaAlPd2 at its PBEsol-relaxed geometry from the Alexandria database. Energies are from meta-GGA SCAN.

Properties
- crystal system = tetragonal
- ΔE_f (eV/atom) = 0.6861

Cell and atoms, written as CIF:
```
data_NaCaAlPd2
_space_group_name_H-M_alt 'P 4/m m m'
_space_group_IT_number 123
_space_group_name_Hall '-P 4 2'
_cell_length_a 4.9613
_cell_length_b 4.9613
_cell_length_c 5.5375
_cell_angle_alpha 90.00
_cell_angle_beta 90.00
_cell_angle_gamma 90.00
loop_
_atom_site_label
_atom_site_fract_x
_atom_site_fract_y
_atom_site_fract_z
_atom_site_occupancy
Na1 0.0000 0.0000 0.0000 1
Ca1 0.5000 0.5000 0.5000 1
Al1 0.5000 0.5000 0.0000 1
Pd1 0.0000 0.5000 0.5000 1
```

=====

(13)
Here is CaNbAl3 at its PBEsol-relaxed geometry from the Alexandria database. Energies are from meta-GGA SCAN.

Properties
- crystal system = cubic
- ΔE_f (eV/atom) = 0.1968

Cell and atoms, written as CIF:
```
data_CaNbAl3
_space_group_name_H-M_alt 'P m -3 m'
_space_group_IT_number 221
_space_group_name_Hall '-P 4 2 3'
_cell_length_a 4.9823
_cell_length_b 4.9823
_cell_length_c 4.9823
_cell_angle_alpha 90.00
_cell_angle_beta 90.00
_cell_angle_gamma 90.00
loop_
_atom_site_label
_atom_site_fract_x
_atom_site_fract_y
_atom_site_fract_z
_atom_site_occupancy
Ca1 0.0000 0.0000 0.0000 1
Nb1 0.5000 0.5000 0.5000 1
Al1 0.0000 0.5000 0.5000 1
```

=====

(14)
Here is Ca3NbAl at its PBEsol-relaxed geometry from the Alexandria database. Energies are from meta-GGA SCAN.

Properties
- crystal system = cubic
- ΔE_f (eV/atom) = 0.8289

Cell and atoms, written as CIF:
```
data_Ca3NbAl
_space_group_name_H-M_alt 'P m -3 m'
_space_group_IT_number 221
_space_group_name_Hall '-P 4 2 3'
_cell_length_a 5.6628
_cell_length_b 5.6628
_cell_length_c 5.6628
_cell_angle_alpha 90.00
_cell_angle_beta 90.00
_cell_angle_gamma 90.00
loop_
_atom_site_label
_atom_site_fract_x
_atom_site_fract_y
_atom_site_fract_z
_atom_site_occupancy
Ca1 0.0000 0.0000 0.5000 1
Nb1 0.5000 0.5000 0.5000 1
Al1 0.0000 0.0000 0.0000 1
```

=====

(15)
Here is CaNb2AlPd at its PBEsol-relaxed geometry from the Alexandria database. Energies are from meta-GGA SCAN.

Properties
- crystal system = tetragonal
- ΔE_f (eV/atom) = 0.8537

Cell and atoms, written as CIF:
```
data_CaNb2AlPd
_space_group_name_H-M_alt 'P 4/m m m'
_space_group_IT_number 123
_space_group_name_Hall '-P 4 2'
_cell_length_a 4.8555
_cell_length_b 4.8555
_cell_length_c 5.1161
_cell_angle_alpha 90.00
_cell_angle_beta 90.00
_cell_angle_gamma 90.00
loop_
_atom_site_label
_atom_site_fract_x
_atom_site_fract_y
_atom_site_fract_z
_atom_site_occupancy
Ca1 0.0000 0.0000 0.0000 1
Nb1 0.0000 0.5000 0.5000 1
Al1 0.5000 0.5000 0.0000 1
Pd1 0.0000 0.0000 0.5000 1
```

=====

(16)
Here is CaAl9Ni at its PBEsol-relaxed geometry from the Alexandria database. Energies are from meta-GGA SCAN.

Properties
- crystal system = hexagonal
- ΔE_f (eV/atom) = -0.2694

Cell and atoms, written as CIF:
```
data_CaAl9Ni
_space_group_name_H-M_alt 'P 63/m m c'
_space_group_IT_number 194
_space_group_name_Hall '-P 6c 2c'
_cell_length_a 7.5291
_cell_length_b 7.5291
_cell_length_c 7.8612
_cell_angle_alpha 90.00
_cell_angle_beta 90.00
_cell_angle_gamma 120.00
loop_
_atom_site_label
_atom_site_fract_x
_atom_site_fract_y
_atom_site_fract_z
_atom_site_occupancy
Ca1 0.0000 0.0000 0.2500 1
Al1 0.0469 0.5235 0.2500 1
Al2 0.2080 0.4159 0.5176 1
Ni1 0.3333 0.6667 0.7500 1
```

=====

no.,magnetization (μB per formula unit)
1,0.0
2,0.0
3,1.5
4,0.0
5,0.0
6,0.0
7,0.1
8,4.0
9,0.0
10,0.1
11,0.1
12,0.0
13,0.0
14,4.1
15,1.0
16,0.0